VASP calculation (PBE) on an optimized crystal structure of TbErIn3Si2.

## Properties
calculated total energy: -31.19 eV/cell
magnetization: 0.00 Bohr magnetons per cell

Geometry as POSCAR:
```
TbErIn3Si2
1.0
-1.7994 4.8353 -2.4888
-4.8061 3.1165 0.0123
3.1138 2.7341 5.6220
Er Tb Si In
1 1 2 3
Cartesian
-1.5107 7.2153 3.1421
-1.9797 3.4748 0.0079
-0.2531 1.0552 0.4208
-3.2456 9.6186 2.7080
-3.5019 6.4856 0.2470
1.5571 1.3756 2.8171
0.0156 4.1997 2.9046
```